(1)
Density functional theory data (PBE) for AcAsCl after structural relaxation.

abc: 5.0051 5.0051 3.9545
angles: 90.00 90.00 120.00
Space group P-6m2 (No. 187)
Asymmetric unit:
Ac  0.0000  0.0000  0.0000 (multiplicity 1)
As  0.6667  0.3333  0.5000 (multiplicity 1)
Cl  0.3333  0.6667  0.0000 (multiplicity 1)

Results
- magnetic moment (μB per cell) = 0.00
- calculated volume (Å³/f.u.) = 85.8

***

(2)
Density functional theory data (PBE) for AcAsCl after structural relaxation.

abc: 4.205 4.205 9.806
angles: 90.00 90.00 90.00
Space group I4mm (No. 107)
Asymmetric unit:
Ac  0.000  0.000  0.000 (multiplicity 2)
As  0.000  0.000  0.619 (multiplicity 2)
Cl  0.000  0.000  0.321 (multiplicity 2)

Results
- magnetic moment (μB per cell) = 1.88
- calculated volume (Å³/f.u.) = 86.7

***

It is (2) that is the least stable of them.

***

(1)
Density functional theory data (PBE) for AcCrAs3 after structural relaxation.

abc: 13.103 5.826 5.767
angles: 90.00 90.00 90.00
Space group Pbcm (No. 57)
Asymmetric unit:
Ac  0.192  0.004  0.250 (multiplicity 4)
Cr  0.421  0.750  0.000 (multiplicity 4)
As  0.002  0.750  0.000 (multiplicity 4)
As  0.304  0.512  0.250 (multiplicity 4)
As  0.437  0.101  0.250 (multiplicity 4)

Results
- magnetic moment (μB per cell) = 6.88
- calculated volume (Å³/f.u.) = 110.0

***

(2)
Density functional theory data (PBE) for AcCrAs3 after structural relaxation.

abc: 4.849 4.849 4.849
angles: 90.00 90.00 90.00
Space group Pm-3m (No. 221)
Asymmetric unit:
Ac  0.000  0.000  0.000 (multiplicity 1)
Cr  0.500  0.500  0.500 (multiplicity 1)
As  0.000  0.500  0.500 (multiplicity 3)

Results
- magnetic moment (μB per cell) = 1.93
- calculated volume (Å³/f.u.) = 114.0

***

It is (2) that is the least stable of them.

***

(1)
Density functional theory data (PBE) for CsAcAs after structural relaxation.

abc: 4.7218 4.7218 8.5724
angles: 90.00 90.00 120.00
Space group P3m1 (No. 156)
Asymmetric unit:
Cs  0.0000  0.0000  0.0000 (multiplicity 1)
Ac  0.3333  0.6667  0.4516 (multiplicity 1)
As  0.6667  0.3333  0.2997 (multiplicity 1)

Results
- magnetic moment (μB per cell) = 0.00
- calculated volume (Å³/f.u.) = 165.5

***

(2)
Density functional theory data (PBE) for CsAcAs after structural relaxation.

abc: 4.217 4.217 16.399
angles: 90.00 90.00 90.00
Space group I4mm (No. 107)
Asymmetric unit:
Cs  0.000  0.000  0.000 (multiplicity 2)
Ac  0.000  0.000  0.232 (multiplicity 2)
As  0.000  0.000  0.673 (multiplicity 2)

Results
- magnetic moment (μB per cell) = 0.00
- calculated volume (Å³/f.u.) = 145.8

***

It is (1) that is the least stable of them.

***

(1)
Density functional theory data (PBE) for AcCu3As3 after structural relaxation.

abc: 6.646 6.646 6.646
angles: 90.00 90.00 90.00
Space group Pm-3n (No. 223)
Asymmetric unit:
Ac  0.000  0.000  0.000 (multiplicity 2)
Cu  0.000  0.250  0.500 (multiplicity 6)
As  0.000  0.500  0.250 (multiplicity 6)

Results
- magnetic moment (μB per cell) = 0.00
- calculated volume (Å³/f.u.) = 146.8

***

(2)
Density functional theory data (PBE) for AcCu3As3 after structural relaxation.

abc: 6.9808 6.9808 21.9980
angles: 90.00 90.00 120.00
Space group R-3 (No. 148, hexagonal axes)
Asymmetric unit:
Ac  0.0000  0.0000  0.1678 (multiplicity 6)
Cu  0.0031  0.6609  0.3703 (multiplicity 18)
As  0.0037  0.6807  0.5935 (multiplicity 18)

Results
- magnetic moment (μB per cell) = 0.00
- calculated volume (Å³/f.u.) = 154.7

***

It is (2) that is the least stable of them.

***

(1)
Density functional theory data (PBE) for AcEuAs2 after structural relaxation.

abc: 4.4524 4.4524 21.5770
angles: 90.00 90.00 120.00
Space group R-3m (No. 166, hexagonal axes)
Asymmetric unit:
Ac  0.0000  0.0000  0.0000 (multiplicity 3)
Eu  0.0000  0.0000  0.5000 (multiplicity 3)
As  0.0000  0.0000  0.2461 (multiplicity 6)

Results
- magnetic moment (μB per cell) = 19.02
- calculated volume (Å³/f.u.) = 123.5

***

(2)
Density functional theory data (PBE) for AcEuAs2 after structural relaxation.

abc: 7.603 7.603 7.603
angles: 90.00 90.00 90.00
Space group Fm-3m (No. 225)
Asymmetric unit:
Ac  0.000  0.000  0.000 (multiplicity 4)
Eu  0.000  0.000  0.500 (multiplicity 4)
As  0.250  0.250  0.250 (multiplicity 8)

Results
- magnetic moment (μB per cell) = 26.60
- calculated volume (Å³/f.u.) = 109.9

***

It is (2) that is the least stable of them.

***

(1)
Density functional theory data (PBE) for AcGaAs after structural relaxation.

abc: 4.6682 4.6682 4.2406
angles: 90.00 90.00 120.00
Space group P3m1 (No. 156)
Asymmetric unit:
Ac  0.0000  0.0000  0.0000 (multiplicity 1)
Ga  0.6667  0.3333  0.5017 (multiplicity 1)
As  0.3333  0.6667  0.4990 (multiplicity 1)

Results
- magnetic moment (μB per cell) = 0.00
- calculated volume (Å³/f.u.) = 80.0

***

(2)
Density functional theory data (PBE) for AcGaAs after structural relaxation.

abc: 7.052 7.052 7.052
angles: 90.00 90.00 90.00
Space group F-43m (No. 216)
Asymmetric unit:
Ac  0.000  0.000  0.000 (multiplicity 4)
Ga  0.250  0.250  0.750 (multiplicity 4)
As  0.000  0.000  0.500 (multiplicity 4)

Results
- magnetic moment (μB per cell) = 0.00
- calculated volume (Å³/f.u.) = 87.7

***

It is (2) that is the least stable of them.